Ba2TePtO6: relaxed, GGA-PBE.

extended XYZ file:
```
20
Lattice="2.972 1.716 10.470 -2.972 1.716 10.470 0.000 -3.431 10.470" Properties=species:S:1:pos:R:3 pbc="T T T"
Ba 0.000 0.000 3.798
Ba 0.000 0.000 9.258
Ba 0.000 0.000 22.153
Ba 0.000 0.000 27.613
Te 0.000 0.000 0.000
Te 0.000 0.000 15.706
Pt 0.000 0.000 12.905
Pt 0.000 0.000 18.507
O -1.362 -0.786 14.514
O 0.000 -1.731 11.678
O -1.499 0.865 11.678
O -1.499 -0.865 19.733
O 0.000 -1.573 16.897
O -1.362 0.786 16.897
O 1.362 -0.786 14.514
O 0.000 1.573 14.514
O 1.499 0.865 11.678
O 1.499 -0.865 19.733
O 0.000 1.731 19.733
O 1.362 0.786 16.897
```

Values from the calculation:
Size of the total moment (μB/f.u.): 1.0
Crystal system: trigonal
E_tot (eV per cell): -116.72
Formation energy from raw total energies (eV per atom): -1.5583